1:
3
Lattice="0.000 3.067 3.067 3.067 0.000 3.067 3.067 3.067 0.000" Properties=species:S:1:pos:R:3 comment="MgAlTc (PBE, optimized geometry)" m_tot_mub_per_fu=1.16 sg="F-43m (216)" pbc="T T T"
Mg 0.000 0.000 0.000
Al 3.067 3.067 3.067
Tc 1.533 1.533 1.533

***

2:
3
Lattice="-1.374 2.044 4.213 1.374 -2.044 4.213 1.374 2.044 -4.213" Properties=species:S:1:pos:R:3 comment="MgAlTc (PBE, optimized geometry)" m_tot_mub_per_fu=0.00 sg="Imm2 (44)" pbc="T T T"
Mg 0.000 0.000 0.000
Al 0.000 0.000 5.725
Tc 0.000 0.000 2.756

***

Which is most stable, and by how much? 2, by 45.6 kJ/mol of atoms.

***

1:
5
Lattice="6.870 0.000 0.000 0.000 4.364 0.000 -3.151 0.000 6.710" Properties=species:S:1:pos:R:3 comment="MgAlTe3 (PBE, optimized geometry)" m_tot_mub_per_fu=0.00 sg="Pm (6)" pbc="T T T"
Mg 0.000 0.000 0.000
Al 0.468 2.182 4.153
Te -1.439 2.182 5.994
Te 0.982 0.000 2.721
Te 1.909 2.182 6.367

***

2:
5
Lattice="5.496 0.000 0.000 0.000 5.496 0.000 0.000 0.000 5.496" Properties=species:S:1:pos:R:3 comment="MgAlTe3 (PBE, optimized geometry)" m_tot_mub_per_fu=0.00 sg="Pm-3m (221)" pbc="T T T"
Mg 0.000 0.000 0.000
Al 2.748 2.748 2.748
Te 0.000 0.000 2.748
Te 0.000 2.748 0.000
Te 2.748 0.000 0.000

***

Which is most stable, and by how much? 1, by 69.5 kJ/mol of atoms.